1.
LiAl2Cr after structural relaxation. Source: Alexandria, functional GGA-PBE.

```
LiAl2Cr
1.0
4.5004 -0.0039 -0.0092
3.7425 2.4996 -0.0092
0.5452 0.1651 5.1463
Cr Al Li
1 2 1
direct
0.2500 0.2500 0.2500
0.9949 0.9949 0.0127
0.5051 0.5051 0.4873
0.7500 0.7500 0.7500
```

**N(E_F)**: 2.38 states/eV/cell
**Crystal system**: monoclinic
**Theoretical density**: 3233 kg/m3
**Total DFT energy (no corrections)**: -18.6 eV/cell

---

2.
LiAl2Cr after structural relaxation. Source: Alexandria, functional GGA-PBE.

```
LiAl2Cr
1.0
3.0136 0.0000 0.0000
0.0000 3.0141 0.0000
0.0000 0.0000 6.3749
Al Li Cr
2 1 1
direct
0.5000 0.0000 0.7630
0.5000 0.0000 0.2370
0.0000 0.5000 0.5000
0.0000 0.5000 0.0000
```

**N(E_F)**: 1.80 states/eV/cell
**Crystal system**: tetragonal
**Theoretical density**: 3238 kg/m3
**Total DFT energy (no corrections)**: -19.4 eV/cell

---

3.
LiAl2Cr after structural relaxation. Source: Alexandria, functional GGA-PBE.

```
LiAl2Cr
1.0
-2.3260 1.1922 0.3584
-0.5841 -2.1052 1.4789
3.0869 3.9609 6.8575
Al Cr Li
2 1 1
direct
0.0000 0.0000 0.0076
0.5000 0.5000 0.2650
0.0000 0.0000 0.4841
0.5000 0.5000 0.7433
```

**N(E_F)**: 2.57 states/eV/cell
**Crystal system**: orthorhombic
**Theoretical density**: 3182 kg/m3
**Total DFT energy (no corrections)**: -18.3 eV/cell

---

4.
Li2AlCr after structural relaxation. Source: Alexandria, functional GGA-PBE.

```
Li2AlCr
1.0
2.5589 0.0000 0.0000
0.0000 4.4437 0.0000
0.0000 0.0000 5.2927
Li Al Cr
2 1 1
direct
0.0000 0.0000 0.9987
0.0000 0.0000 0.5013
0.5000 0.5000 0.2500
0.5000 0.5000 0.7500
```

**N(E_F)**: 2.06 states/eV/cell
**Crystal system**: orthorhombic
**Theoretical density**: 2562 kg/m3
**Total DFT energy (no corrections)**: -16.0 eV/cell

---

5.
LiAl2Cr after structural relaxation. Source: Alexandria, functional GGA-PBE.

```
LiAl2Cr
1.0
5.2140 0.0004 0.0025
2.6487 4.4912 -0.0025
-3.4075 -3.1628 2.3604
Cr Al Li
1 2 1
direct
0.5028 0.5028 0.0000
0.7402 0.2402 0.5000
0.0011 0.0011 0.0000
0.2559 0.7559 0.5000
```

**N(E_F)**: 1.96 states/eV/cell
**Crystal system**: orthorhombic
**Theoretical density**: 3393 kg/m3
**Total DFT energy (no corrections)**: -18.9 eV/cell

---

6.
LiAl2Cr after structural relaxation. Source: Alexandria, functional GGA-PBE.

```
LiAl2Cr
1.0
-2.6685 -1.9092 1.9449
0.5189 -3.0281 -2.2605
5.0832 -5.4997 5.3160
Al Cr Li
4 2 2
direct
0.6414 0.1250 0.2500
0.3750 0.3586 0.7500
0.1086 0.6250 0.2500
0.8750 0.8914 0.7500
0.7500 0.2500 0.5000
0.0000 0.0000 0.0000
0.5000 0.5000 0.0000
0.2500 0.7500 0.5000
```

**N(E_F)**: 9.66 states/eV/cell
**Crystal system**: tetragonal
**Theoretical density**: 2936 kg/m3
**Total DFT energy (no corrections)**: -33.2 eV/cell

---

Ordered magnetization results: 0.249 0.572 0.000 0.616 0.118 0.000; unit μB/atom.